Record 1
# CsAs2Pb2

Crystalline CsAs2Pb2 at its relaxed geometry (PBE, the Alexandria database).

Output
ΔH_f (0 K): -41 meV/atom
N(E_F): 4.5 states/eV/cell
total magnetic moment: 0.00 μB per cell
space-group type: No. 127

Cell lengths 9.225, 9.225, 3.789 Å; angles 90.00, 90.00, 90.00 degrees
Atoms (fractional coordinates):
As1 0.140 0.640 0.500
As2 0.640 0.860 0.500
Cs1 0.000 0.000 0.000
Pb1 0.376 0.876 0.000
Pb2 0.876 0.624 0.000
As3 0.360 0.140 0.500
Cs2 0.500 0.500 0.000
Pb3 0.624 0.124 0.000
As4 0.860 0.360 0.500
Pb4 0.124 0.376 0.000

***

Record 2
# Cs3AsPb

Crystalline Cs3AsPb at its relaxed geometry (PBE, the Alexandria database).

Output
ΔH_f (0 K): 100 meV/atom
N(E_F): 2.9 states/eV/cell
total magnetic moment: 4.00 μB per cell
space-group type: No. 221

Cell lengths 6.984, 6.984, 6.984 Å; angles 90.00, 90.00, 90.00 degrees
Last column: magnetic moment on the atom in μB.
Atoms (fractional coordinates):
Cs1 0.500 0.000 0.000  0.03
Cs2 0.000 0.000 0.500  0.06
Pb1 0.500 0.500 0.500  0.70
Cs3 0.000 0.500 0.000  0.04
As1 0.000 0.000 0.000  0.46

***

Record 3
# CsAs2Pb3

Crystalline CsAs2Pb3 at its relaxed geometry (PBE, the Alexandria database).

Output
ΔH_f (0 K): -144 meV/atom
N(E_F): 4.3 states/eV/cell
total magnetic moment: 0.00 μB per cell
space-group type: No. 12

Cell lengths 4.207, 9.869, 12.537 Å; angles 57.63, 80.34, 77.69 degrees
Atoms (fractional coordinates):
Pb1 0.676 0.150 0.497
As1 0.236 0.218 0.310
Pb2 0.933 0.478 0.657
As2 0.764 0.782 0.690
As3 0.560 0.711 0.168
Cs1 0.098 0.947 0.856
Pb3 0.290 0.539 0.881
Pb4 0.067 0.522 0.343
Pb5 0.324 0.850 0.503
Cs2 0.902 0.053 0.144
As4 0.440 0.289 0.832
Pb6 0.710 0.461 0.119

***

Record 4
# Cs3As2Pb

Crystalline Cs3As2Pb at its relaxed geometry (PBE, the Alexandria database).

Output
ΔH_f (0 K): -318 meV/atom
N(E_F): 8.8 states/eV/cell
total magnetic moment: 0.00 μB per cell
space-group type: No. 72

Cell lengths 8.701, 7.494, 10.032 Å; angles 111.93, 115.70, 90.00 degrees
Atoms (fractional coordinates):
Cs1 0.018 0.818 0.636
Cs2 0.500 0.250 0.000
Pb1 0.000 0.250 0.000
Cs3 0.618 0.318 0.636
Cs4 0.982 0.182 0.364
As1 0.287 0.098 0.196
Cs5 0.382 0.682 0.364
As2 0.909 0.598 0.196
As3 0.091 0.402 0.804
Pb2 0.000 0.750 0.000
Cs6 0.500 0.750 0.000
As4 0.713 0.902 0.804

***

Record 5
# Cs2As2Pb

Crystalline Cs2As2Pb at its relaxed geometry (PBE, the Alexandria database).

Output
ΔH_f (0 K): 315 meV/atom
N(E_F): 7.7 states/eV/cell
total magnetic moment: 0.00 μB per cell
space-group type: No. 127

Cell lengths 10.591, 10.591, 3.342 Å; angles 90.00, 90.00, 90.00 degrees
Atoms (fractional coordinates):
Cs1 0.621 0.121 0.000
As1 0.678 0.822 0.500
Cs2 0.121 0.379 0.000
As2 0.322 0.178 0.500
Pb1 0.500 0.500 0.000
Cs3 0.879 0.621 0.000
As3 0.822 0.322 0.500
Cs4 0.379 0.879 0.000
Pb2 0.000 0.000 0.000
As4 0.178 0.678 0.500

***

Record 6
# CsAsPb3

Crystalline CsAsPb3 at its relaxed geometry (PBE, the Alexandria database).

Output
ΔH_f (0 K): 185 meV/atom
N(E_F): 5.7 states/eV/cell
total magnetic moment: 0.00 μB per cell
space-group type: No. 221

Cell lengths 5.856, 5.856, 5.856 Å; angles 90.00, 90.00, 90.00 degrees
Atoms (fractional coordinates):
Pb1 0.000 0.500 0.000
As1 0.000 0.000 0.000
Cs1 0.500 0.500 0.500
Pb2 0.000 0.000 0.500
Pb3 0.500 0.000 0.000

***

Record 7
# Cs3AsPb

Crystalline Cs3AsPb at its relaxed geometry (PBE, the Alexandria database).

Output
ΔH_f (0 K): -193 meV/atom
N(E_F): 5.4 states/eV/cell
total magnetic moment: 0.40 μB per cell
space-group type: No. 12

Cell lengths 8.796, 8.796, 9.217 Å; angles 114.34, 114.72, 97.47 degrees
Atoms (fractional coordinates):
Pb1 0.315 0.947 0.262
As1 0.421 0.205 0.626
As2 0.579 0.795 0.374
Cs1 0.301 0.566 0.866
Cs2 0.856 0.044 0.285
Cs3 0.759 0.571 0.715
Cs4 0.144 0.956 0.715
Pb2 0.685 0.053 0.738
Cs5 0.241 0.429 0.285
Cs6 0.699 0.434 0.134

***

Record 8
# CsAs3Pb3

Crystalline CsAs3Pb3 at its relaxed geometry (PBE, the Alexandria database).

Output
ΔH_f (0 K): -51 meV/atom
N(E_F): 12.2 states/eV/cell
total magnetic moment: 0.00 μB per cell
space-group type: No. 223

Cell lengths 8.195, 8.195, 8.195 Å; angles 90.00, 90.00, 90.00 degrees
Atoms (fractional coordinates):
Cs1 0.000 0.000 0.000
Pb1 0.500 0.250 0.000
As1 0.500 0.000 0.750
Pb2 0.000 0.500 0.250
As2 0.000 0.250 0.500
Pb3 0.750 0.000 0.500
Pb4 0.500 0.750 0.000
Pb5 0.250 0.000 0.500
As3 0.500 0.000 0.250
As4 0.000 0.750 0.500
Cs2 0.500 0.500 0.500
As5 0.250 0.500 0.000
Pb6 0.000 0.500 0.750
As6 0.750 0.500 0.000